Computed, not measured: crystalline KBaAu2 at its relaxed geometry at the PBE level of DFT.

## Properties
DOS at the Fermi energy = 0.565 states/eV/atom
size of the total moment = 0.0 μB/f.u.
space group = No. 225
energy of formation from the pure elements = -0.51 eV per atom
polymorph energy (0 for the lowest one) = 0.09 eV per formula unit
raw total energy = -2.901 eV/atom

Cell: 5.6538 5.6538 5.6538 Å, 60.00 60.00 60.00°
Fractional coordinates of all 4 atoms:
1 K 0.0000 0.0000 0.0000
2 Au 0.7500 0.7500 0.7500
3 Au 0.2500 0.2500 0.2500
4 Ba 0.5000 0.5000 0.5000

Computed, not measured: crystalline HoPu2Ge2Au2 at its relaxed geometry at the PBE level of DFT.

## Properties
DOS at the Fermi energy = 1.939 states/eV/atom
size of the total moment = 11.2 μB/f.u.
space group = No. 166
energy of formation from the pure elements = -0.45 eV per atom
raw total energy = -7.455 eV/atom

Cell: 4.5379 4.5379 8.9234 Å, 75.27 75.27 60.00°
Site moments in Bohr magnetons follow the coordinates.
Fractional coordinates of all 7 atoms:
1 Ge 0.7359 0.7359 0.7924  -0.04
2 Ge 0.2641 0.2641 0.2076  -0.04
3 Ho 0.0000 0.0000 0.0000  0.06
4 Au 0.4119 0.4119 0.7642  0.00
5 Au 0.5881 0.5881 0.2358  0.00
6 Pu 0.1402 0.1402 0.5795  5.46
7 Pu 0.8598 0.8598 0.4205  5.46

Computed, not measured: crystalline Tb3Sm2Pt4 at its relaxed geometry at the PBE level of DFT.

## Properties
DOS at the Fermi energy = 0.622 states/eV/atom
size of the total moment = 0.0 μB/f.u.
space group = No. 14
energy of formation from the pure elements = -1.14 eV per atom
raw total energy = -6.417 eV/atom

Cell: 7.7875 7.6517 7.6906 Å, 90.00 90.00 109.19°
Fractional coordinates of all 18 atoms:
1 Pt 0.3607 0.0904 0.9650
2 Pt 0.1393 0.9096 0.4650
3 Pt 0.3712 0.4943 0.3663
4 Pt 0.6288 0.5057 0.6337
5 Pt 0.6393 0.9096 0.0350
6 Pt 0.1288 0.5057 0.8663
7 Pt 0.8607 0.0904 0.5350
8 Pt 0.8712 0.4943 0.1337
9 Tb 0.2484 0.2434 0.6655
10 Tb 0.2516 0.7566 0.1655
11 Tb 0.0000 0.5000 0.5000
12 Tb 0.7484 0.2434 0.8345
13 Tb 0.7516 0.7566 0.3345
14 Tb 0.5000 0.5000 0.0000
15 Sm 0.5826 0.1973 0.3211
16 Sm 0.9174 0.8027 0.8211
17 Sm 0.0826 0.1973 0.1789
18 Sm 0.4174 0.8027 0.6789

Computed, not measured: crystalline BePb at its relaxed geometry at the PBE level of DFT.

## Properties
DOS at the Fermi energy = 0.766 states/eV/atom
size of the total moment = 0.0 μB/f.u.
space group = No. 217
energy of formation from the pure elements = 0.64 eV per atom
polymorph energy (0 for the lowest one) = 0.68 eV per formula unit
raw total energy = -3.073 eV/atom

Cell: 7.5185 7.5185 7.5185 Å, 90.00 90.00 90.00°
Fractional coordinates of all 16 atoms:
1 Be 0.3988 0.6012 0.3988
2 Be 0.8988 0.8988 0.1012
3 Be 0.6012 0.3988 0.3988
4 Be 0.1012 0.8988 0.8988
5 Be 0.1012 0.1012 0.1012
6 Be 0.6012 0.6012 0.6012
7 Be 0.8988 0.1012 0.8988
8 Be 0.3988 0.3988 0.6012
9 Pb 0.7132 0.7132 0.2868
10 Pb 0.2132 0.7868 0.2132
11 Pb 0.2132 0.2132 0.7868
12 Pb 0.2868 0.2868 0.2868
13 Pb 0.7132 0.2868 0.7132
14 Pb 0.7868 0.7868 0.7868
15 Pb 0.2868 0.7132 0.7132
16 Pb 0.7868 0.2132 0.2132

Computed, not measured: crystalline Ho2Pa2C3 at its relaxed geometry at the PBE level of DFT.

## Properties
DOS at the Fermi energy = 0.665 states/eV/atom
size of the total moment = 0.0 μB/f.u.
space group = No. 12
energy of formation from the pure elements = -0.29 eV per atom
raw total energy = -8.267 eV/atom

Cell: 3.5358 6.0127 6.7869 Å, 114.79 105.10 90.00°
Fractional coordinates of all 7 atoms:
1 Ho 0.6295 0.4756 0.2590
2 Ho 0.3705 0.5244 0.7410
3 C 0.0000 0.5000 0.0000
4 C 0.7377 0.2090 0.4754
5 C 0.2623 0.7910 0.5246
6 Pa 0.1233 0.9456 0.2466
7 Pa 0.8767 0.0544 0.7534

Computed, not measured: crystalline MgNi7Sn2As2 at its relaxed geometry at the PBE level of DFT.

## Properties
DOS at the Fermi energy = 0.778 states/eV/atom
size of the total moment = 0.0 μB/f.u.
space group = No. 12
energy of formation from the pure elements = -0.14 eV per atom
raw total energy = -5.092 eV/atom

Cell: 3.5992 3.5992 14.9448 Å, 83.19 83.19 89.97°
Fractional coordinates of all 12 atoms:
1 Ni 0.6919 0.6919 0.6139
2 Ni 0.3081 0.3081 0.3861
3 Ni 0.4384 0.9388 0.1296
4 Ni 0.9388 0.4384 0.1296
5 Ni 0.5000 0.5000 0.0000
6 Ni 0.0612 0.5616 0.8704
7 Ni 0.5616 0.0612 0.8704
8 As 0.6098 0.6098 0.7711
9 As 0.3902 0.3902 0.2289
10 Sn 0.2120 0.2120 0.5738
11 Sn 0.7880 0.7880 0.4262
12 Mg 0.0000 0.0000 0.0000